Computed, not measured: a relaxed structure of NaAc2Br6 at the PBE level of DFT.

Summary:
- ΔE_f (raw): -40.110 kcal/mol of atoms
- Raw total energy: -0.288 Ry per atom
- Space-group type: P2_1/c
- Total magnetization: 1.0 μB/f.u.

Cell lengths 7.405, 7.624, 11.193 Å; angles 90.00, 99.26, 90.00 degrees
Each line ends with the local moment (μB).
Sites, in units of the cell vectors:
Na: 0.500 0.500 0.000  0.00
Na: 0.000 0.000 0.500  0.00
Ac: 0.941 0.378 0.778  0.17
Ac: 0.559 0.878 0.722  0.17
Ac: 0.441 0.122 0.278  0.17
Ac: 0.059 0.622 0.222  0.17
Br: 0.816 0.942 0.259  0.00
Br: 0.828 0.672 0.587  0.00
Br: 0.824 0.684 0.942  0.00
Br: 0.676 0.184 0.558  0.00
Br: 0.672 0.172 0.913  0.00
Br: 0.684 0.442 0.241  0.00
Br: 0.184 0.058 0.741  0.00
Br: 0.172 0.328 0.413  0.00
Br: 0.176 0.316 0.058  0.00
Br: 0.324 0.816 0.442  0.00
Br: 0.328 0.828 0.087  0.00
Br: 0.316 0.558 0.759  0.00